Entry from Alexandria via LeMat-Bulk: a geometry-optimized LuScHg2 structure (PBE-GGA).

```
data_LuScHg2
_chemical_formula_sum 'Lu1 Sc1 Hg2'
_space_group_name_H-M_alt 'P 1'
_space_group_IT_number 1
_cell_length_a 5.072
_cell_length_b 5.072
_cell_length_c 5.072
_cell_angle_alpha 60.00
_cell_angle_beta 60.00
_cell_angle_gamma 60.00
loop_
_space_group_symop_operation_xyz
'x,y,z'
loop_
_atom_site_label
_atom_site_fract_x
_atom_site_fract_y
_atom_site_fract_z
Lu1 0.000 0.000 0.000
Sc1 0.500 0.500 0.500
Hg1 0.250 0.250 0.250
Hg2 0.750 0.750 0.750
```

Properties
- ΔE to the lowest computed polymorph: 0.0015 eV/atom
- Calculated volume: 92 Å³/cell
- Energy of formation: -0.44 eV per atom